Entry 1:
Below is an optimized crystal structure of ScAuSBr2, with properties calculated at the GGA-PBE level.

```
data_ScAuSBr2
_space_group_name_H-M_alt 'P 4/m m m'
_space_group_IT_number 123
_space_group_name_Hall '-P 4 2'
_cell_length_a 5.293
_cell_length_b 5.293
_cell_length_c 4.920
_cell_angle_alpha 90.00
_cell_angle_beta 90.00
_cell_angle_gamma 90.00
loop_
_atom_site_label
_atom_site_fract_x
_atom_site_fract_y
_atom_site_fract_z
Sc1 0.000 0.000 0.000
Au1 0.500 0.500 0.500
S1 0.000 0.000 0.500
Br1 0.000 0.500 0.000
```

Computed properties:
- total magnetic moment (μB per formula unit) = 0.00
- DOS(E_F) (states/eV/cell) = 1.63
- formation energy from raw total energies (eV per atom) = -0.525
- total energy (eV/atom) = -3.941

---

Entry 2:
Below is an optimized crystal structure of Y2MnZn, with properties calculated at the GGA-PBE level.

```
data_Y2MnZn
_space_group_name_H-M_alt 'P 4 m m'
_space_group_IT_number 99
_space_group_name_Hall 'P 4 -2'
_cell_length_a 3.399
_cell_length_b 3.399
_cell_length_c 7.975
_cell_angle_alpha 90.00
_cell_angle_beta 90.00
_cell_angle_gamma 90.00
loop_
_atom_site_label
_atom_site_fract_x
_atom_site_fract_y
_atom_site_fract_z
Y1 0.000 0.000 0.000
Y2 0.500 0.500 0.363
Mn1 0.500 0.500 0.757
Zn1 0.000 0.000 0.610
```

Computed properties:
- total magnetic moment (μB per formula unit) = 2.57
- DOS(E_F) (states/eV/cell) = 4.35
- calculated formation energy (eV/atom) = 0.024
- total energy (eV/atom) = -5.819

---

Entry 3:
Below is an optimized crystal structure of K2ScMn, with properties calculated at the GGA-PBE level.

```
data_K2ScMn
_space_group_name_H-M_alt 'C m m m'
_space_group_IT_number 65
_space_group_name_Hall '-C 2 2'
_cell_length_a 3.650
_cell_length_b 5.647
_cell_length_c 12.947
_cell_angle_alpha 90.00
_cell_angle_beta 90.00
_cell_angle_gamma 90.00
loop_
_atom_site_label
_atom_site_fract_x
_atom_site_fract_y
_atom_site_fract_z
K1 0.000 0.000 0.236
Sc1 0.000 0.500 0.500
Mn1 0.000 0.500 0.000
```

Computed properties:
- total magnetic moment (μB per formula unit) = 4.13
- DOS(E_F) (states/eV/cell) = 11.76
- calculated formation energy (eV/atom) = 0.920
- total energy (eV/atom) = -3.504

---

Entry 4:
Below is an optimized crystal structure of LaAl2Br, with properties calculated at the GGA-PBE level.

```
data_LaAl2Br
_space_group_name_H-M_alt 'P 1 m 1'
_space_group_IT_number 6
_space_group_name_Hall 'P -2y'
_cell_length_a 3.865
_cell_length_b 4.311
_cell_length_c 6.522
_cell_angle_alpha 90.00
_cell_angle_beta 106.91
_cell_angle_gamma 90.00
loop_
_atom_site_label
_atom_site_fract_x
_atom_site_fract_y
_atom_site_fract_z
La1 0.000 0.000 0.000
Al1 0.187 0.500 0.399
Al2 0.698 0.000 0.407
Br1 0.424 0.500 0.845
```

Computed properties:
- total magnetic moment (μB per formula unit) = 0.00
- DOS(E_F) (states/eV/cell) = 2.61
- formation energy from raw total energies (eV per atom) = -0.432
- total energy (eV/atom) = -3.953

---

Entry 5:
Below is an optimized crystal structure of KY2ReAs, with properties calculated at the GGA-PBE level.

```
data_KY2ReAs
_space_group_name_H-M_alt 'P 4/m m m'
_space_group_IT_number 123
_space_group_name_Hall '-P 4 2'
_cell_length_a 5.155
_cell_length_b 5.155
_cell_length_c 5.147
_cell_angle_alpha 90.00
_cell_angle_beta 90.00
_cell_angle_gamma 90.00
loop_
_atom_site_label
_atom_site_fract_x
_atom_site_fract_y
_atom_site_fract_z
K1 0.000 0.000 0.000
Y1 0.000 0.500 0.000
Re1 0.500 0.500 0.500
As1 0.000 0.000 0.500
```

Computed properties:
- total magnetic moment (μB per formula unit) = 2.64
- DOS(E_F) (states/eV/cell) = 3.17
- calculated formation energy (eV/atom) = 1.964
- total energy (eV/atom) = -4.260

---

Entry 6:
Below is an optimized crystal structure of CdSi2Br, with properties calculated at the GGA-PBE level.

```
data_CdSi2Br
_space_group_name_H-M_alt 'C m m m'
_space_group_IT_number 65
_space_group_name_Hall '-C 2 2'
_cell_length_a 5.591
_cell_length_b 10.037
_cell_length_c 3.048
_cell_angle_alpha 90.00
_cell_angle_beta 90.00
_cell_angle_gamma 90.00
loop_
_atom_site_label
_atom_site_fract_x
_atom_site_fract_y
_atom_site_fract_z
Cd1 0.000 0.000 0.000
Si1 0.250 0.250 0.500
Br1 0.000 0.500 0.000
```

Computed properties:
- total magnetic moment (μB per formula unit) = 0.00
- DOS(E_F) (states/eV/cell) = 4.41
- formation energy from raw total energies (eV per atom) = 0.651
- total energy (eV/atom) = -2.708

---

Entry 7:
Below is an optimized crystal structure of Er4OsPb, with properties calculated at the GGA-PBE level.

```
data_Er4OsPb
_space_group_name_H-M_alt 'C 1 2/c 1'
_space_group_IT_number 15
_space_group_name_Hall '-C 2yc'
_cell_length_a 8.868
_cell_length_b 13.395
_cell_length_c 6.103
_cell_angle_alpha 90.00
_cell_angle_beta 112.47
_cell_angle_gamma 90.00
loop_
_atom_site_label
_atom_site_fract_x
_atom_site_fract_y
_atom_site_fract_z
Er1 0.110 0.166 0.062
Er2 0.225 0.430 0.350
Os1 0.000 0.000 0.250
Pb1 0.000 0.370 0.750
```

Computed properties:
- total magnetic moment (μB per formula unit) = 0.00
- DOS(E_F) (states/eV/cell) = 21.44
- calculated formation energy (eV/atom) = -0.402
- total energy (eV/atom) = -5.933

---

Entry 8:
Below is an optimized crystal structure of FeSb2Cl, with properties calculated at the GGA-PBE level.

```
data_FeSb2Cl
_space_group_name_H-M_alt 'R -3 m'
_space_group_IT_number 166
_space_group_name_Hall '-R 3 2"'
_cell_length_a 3.7631
_cell_length_b 3.7631
_cell_length_c 21.8582
_cell_angle_alpha 90.00
_cell_angle_beta 90.00
_cell_angle_gamma 120.00
loop_
_atom_site_label
_atom_site_fract_x
_atom_site_fract_y
_atom_site_fract_z
Fe1 0.0000 0.0000 0.0000
Sb1 0.0000 0.0000 0.2733
Cl1 0.0000 0.0000 0.5000
```

Computed properties:
- total magnetic moment (μB per formula unit) = 0.00
- DOS(E_F) (states/eV/cell) = 5.95
- formation energy from raw total energies (eV per atom) = 0.001
- total energy (eV/atom) = -4.638

---

Entry 9:
Below is an optimized crystal structure of Zr6PtO, with properties calculated at the GGA-PBE level.

```
data_Zr6PtO
_space_group_name_H-M_alt 'P -1'
_space_group_IT_number 2
_space_group_name_Hall '-P 1'
_cell_length_a 5.133
_cell_length_b 5.701
_cell_length_c 5.893
_cell_angle_alpha 98.43
_cell_angle_beta 112.80
_cell_angle_gamma 90.64
loop_
_atom_site_label
_atom_site_fract_x
_atom_site_fract_y
_atom_site_fract_z
Zr1 0.068 0.286 0.149
Zr2 0.225 0.834 0.467
Zr3 0.402 0.379 0.749
Pt1 0.500 0.000 0.000
O1 0.000 0.500 0.500
```

Computed properties:
- total magnetic moment (μB per formula unit) = 0.00
- DOS(E_F) (states/eV/cell) = 8.05
- formation energy from raw total energies (eV per atom) = -0.879
- total energy (eV/atom) = -8.665

---

Entry 10:
Below is an optimized crystal structure of Na2Sr8Ni, with properties calculated at the GGA-PBE level.

```
data_Na2Sr8Ni
_space_group_name_H-M_alt 'C 1 2/m 1'
_space_group_IT_number 12
_space_group_name_Hall '-C 2y'
_cell_length_a 27.738
_cell_length_b 4.354
_cell_length_c 8.691
_cell_angle_alpha 90.00
_cell_angle_beta 98.41
_cell_angle_gamma 90.00
loop_
_atom_site_label
_atom_site_fract_x
_atom_site_fract_y
_atom_site_fract_z
Na1 0.202 0.000 0.364
Sr1 0.001 0.000 0.736
Sr2 0.105 0.500 0.548
Sr3 0.112 0.500 0.057
Sr4 0.210 0.000 0.833
Ni1 0.000 0.500 0.500
```

Computed properties:
- total magnetic moment (μB per formula unit) = 0.00
- DOS(E_F) (states/eV/cell) = 17.20
- calculated formation energy (eV/atom) = 0.012
- total energy (eV/atom) = -1.976

---

Entry 11:
Below is an optimized crystal structure of BaTlRu3, with properties calculated at the GGA-PBE level.

```
data_BaTlRu3
_space_group_name_H-M_alt 'P m -3 m'
_space_group_IT_number 221
_space_group_name_Hall '-P 4 2 3'
_cell_length_a 5.139
_cell_length_b 5.139
_cell_length_c 5.139
_cell_angle_alpha 90.00
_cell_angle_beta 90.00
_cell_angle_gamma 90.00
loop_
_atom_site_label
_atom_site_fract_x
_atom_site_fract_y
_atom_site_fract_z
Ba1 0.000 0.000 0.000
Tl1 0.500 0.500 0.500
Ru1 0.000 0.000 0.500
```

Computed properties:
- total magnetic moment (μB per formula unit) = 4.68
- DOS(E_F) (states/eV/cell) = 6.93
- calculated formation energy (eV/atom) = 2.394
- total energy (eV/atom) = -4.030

---

Question: Which value of total magnetic moment does entry 10 give?
Answer: 0.00 μB per formula unit

---

Question: Look up the DOS(E_F) of the fourth one.
Answer: 2.61 states/eV/cell

---

Repeat the third record exactly.
Below is an optimized crystal structure of K2ScMn, with properties calculated at the GGA-PBE level.

```
data_K2ScMn
_space_group_name_H-M_alt 'C m m m'
_space_group_IT_number 65
_space_group_name_Hall '-C 2 2'
_cell_length_a 3.650
_cell_length_b 5.647
_cell_length_c 12.947
_cell_angle_alpha 90.00
_cell_angle_beta 90.00
_cell_angle_gamma 90.00
loop_
_atom_site_label
_atom_site_fract_x
_atom_site_fract_y
_atom_site_fract_z
K1 0.000 0.000 0.236
Sc1 0.000 0.500 0.500
Mn1 0.000 0.500 0.000
```

Computed properties:
- total magnetic moment (μB per formula unit) = 4.13
- DOS(E_F) (states/eV/cell) = 11.76
- calculated formation energy (eV/atom) = 0.920
- total energy (eV/atom) = -3.504